[1]
Below is a relaxed SrLiHgF6 crystal, with properties calculated at the GGA-PBE level.

Cell and atoms, written as extended XYZ:
```
9
Lattice="5.543 0.000 0.000 -2.771 4.800 0.000 0.000 0.000 5.325" Properties=species:S:1:pos:R:3 pbc="T T T"
Sr 0.000 0.000 0.000
Li 0.000 3.200 2.663
Hg 2.771 1.600 2.663
F -0.905 1.756 3.853
F -1.703 3.139 1.473
F 0.905 1.756 1.473
F -0.798 4.706 3.853
F 1.703 3.139 3.853
F 0.798 4.706 1.473
```

Size of the total moment (μB per formula unit): 1.0
Symmetry: P312
Formation energy from raw total energies (kJ per mole of atoms): -235
D(E_F) (states/eV/cell): 5.825

---

[2]
Below is a relaxed AlZn2In crystal, with properties calculated at the GGA-PBE level.

Cell and atoms, written as extended XYZ:
```
4
Lattice="-1.484 2.582 4.993 1.484 -2.582 4.993 1.484 2.582 -4.993" Properties=species:S:1:pos:R:3 pbc="T T T"
Al 0.000 0.000 0.000
Zn 0.000 0.000 5.402
Zn 0.000 2.582 2.671
In 1.484 0.000 2.725
```

Energy relative to the lowest polymorph listed for this composition (meV per atom): 63
Size of the total moment (μB per formula unit): 0.0
Symmetry: Imm2
ΔE_f (meV per atom): 148
D(E_F) (states/eV/cell): 1.159

---

[3]
Below is a relaxed CaMg2ScAu4 crystal, with properties calculated at the GGA-PBE level.

Cell and atoms, written as extended XYZ:
```
8
Lattice="2.409 1.391 7.965 -2.409 1.391 7.965 0.000 -2.782 7.965" Properties=species:S:1:pos:R:3 pbc="T T T"
Ca 0.000 0.000 0.000
Mg 0.000 0.000 5.956
Mg 0.000 0.000 17.940
Sc 0.000 0.000 11.948
Au 0.000 0.000 3.108
Au 0.000 0.000 9.123
Au 0.000 0.000 14.773
Au 0.000 0.000 20.788
```

Size of the total moment (μB per formula unit): 0.0
Symmetry: R-3m
ΔE_f (meV per atom): -706
D(E_F) (states/eV/cell): 5.697

---

[4]
Below is a relaxed MgTa3H crystal, with properties calculated at the GGA-PBE level.

Cell and atoms, written as extended XYZ:
```
5
Lattice="4.758 0.000 0.000 0.000 4.758 0.000 0.000 0.000 4.758" Properties=species:S:1:pos:R:3 pbc="T T T"
Mg 0.000 0.000 0.000
Ta 0.000 0.000 2.379
Ta 0.000 2.379 0.000
Ta 2.379 0.000 0.000
H 2.379 2.379 2.379
```

Energy relative to the lowest polymorph listed for this composition (meV per atom): 2582
Size of the total moment (μB per formula unit): 0.0
Symmetry: Pm-3m
D(E_F) (states/eV/cell): 9.857

---

[5]
Below is a relaxed DyTm2Co crystal, with properties calculated at the GGA-PBE level.

Cell and atoms, written as extended XYZ:
```
4
Lattice="0.000 3.619 3.619 3.619 0.000 3.619 3.619 3.619 0.000" Properties=species:S:1:pos:R:3 pbc="T T T"
Dy 0.000 0.000 0.000
Tm 1.810 1.810 1.810
Tm 5.429 5.429 5.429
Co 3.619 3.619 3.619
```

Energy relative to the lowest polymorph listed for this composition (meV per atom): 472
Size of the total moment (μB per formula unit): 0.8
Symmetry: Fm-3m
ΔE_f (meV per atom): 283
D(E_F) (states/eV/cell): 5.136

---

[6]
Below is a relaxed In4Ag3 crystal, with properties calculated at the GGA-PBE level.

Cell and atoms, written as extended XYZ:
```
7
Lattice="5.742 0.000 0.000 -2.871 4.973 0.000 0.000 0.000 5.482" Properties=species:S:1:pos:R:3 pbc="T T T"
In 0.000 0.000 1.369
In 0.000 0.000 4.113
In 0.000 3.315 0.000
In 2.871 1.658 0.000
Ag -1.436 2.486 2.741
Ag 2.871 0.000 2.741
Ag 1.436 2.486 2.741
```

Energy relative to the lowest polymorph listed for this composition (meV per atom): 34
Size of the total moment (μB per formula unit): 0.0
Symmetry: P6/mmm
ΔE_f (meV per atom): 47
D(E_F) (states/eV/cell): 1.585

---

[7]
Below is a relaxed TcPIrS2 crystal, with properties calculated at the GGA-PBE level.

Cell and atoms, written as extended XYZ:
```
5
Lattice="4.473 0.000 0.000 0.000 4.473 0.000 0.000 0.000 4.668" Properties=species:S:1:pos:R:3 pbc="T T T"
Tc 0.000 0.000 0.000
P 0.000 0.000 2.334
Ir 2.237 2.237 2.334
S 0.000 2.237 0.000
S 2.237 0.000 0.000
```

Energy relative to the lowest polymorph listed for this composition (meV per atom): 8
Size of the total moment (μB per formula unit): 0.0
Symmetry: P4/mmm
Formation energy from raw total energies (kJ per mole of atoms): 103
D(E_F) (states/eV/cell): 4.747

---

[8]
Below is a relaxed LaNd4Er crystal, with properties calculated at the GGA-PBE level.

Cell and atoms, written as extended XYZ:
```
6
Lattice="2.598 -7.822 0.000 2.598 7.822 0.000 0.000 0.000 5.153" Properties=species:S:1:pos:R:3 pbc="T T T"
La 0.000 0.000 0.000
Nd 2.598 5.221 2.576
Nd 2.598 2.603 0.000
Nd 2.598 -2.603 0.000
Nd 2.598 -5.221 2.576
Er 2.598 0.000 2.576
```

Energy relative to the lowest polymorph listed for this composition (meV per atom): 0
Size of the total moment (μB per formula unit): 0.0
Symmetry: Cmmm
ΔE_f (meV per atom): 20
D(E_F) (states/eV/cell): 9.953

---

Among the records above, which one has the lowest D(E_F)? AlZn2In

---

What did the third record say?
Below is a relaxed CaMg2ScAu4 crystal, with properties calculated at the GGA-PBE level.

Cell and atoms, written as extended XYZ:
```
8
Lattice="2.409 1.391 7.965 -2.409 1.391 7.965 0.000 -2.782 7.965" Properties=species:S:1:pos:R:3 pbc="T T T"
Ca 0.000 0.000 0.000
Mg 0.000 0.000 5.956
Mg 0.000 0.000 17.940
Sc 0.000 0.000 11.948
Au 0.000 0.000 3.108
Au 0.000 0.000 9.123
Au 0.000 0.000 14.773
Au 0.000 0.000 20.788
```

Size of the total moment (μB per formula unit): 0.0
Symmetry: R-3m
ΔE_f (meV per atom): -706
D(E_F) (states/eV/cell): 5.697

---

Which of these has the highest size of the total moment? SrLiHgF6

---

What is the D(E_F) in the fourth record? 9.857 states/eV/cell